Record 1
DFT (PBE) results for an optimized crystal structure of Ce3NdPt4.

Geometry as extended XYZ:
```
16
Lattice="7.200 0.000 0.000 0.000 8.301 0.000 -2.394 0.000 6.772" Properties=species:S:1:pos:R:3 pbc="T T T"
Ce -0.598 1.038 1.693
Ce -1.795 3.109 5.079
Ce -0.598 5.193 1.693
Ce -1.795 7.263 5.079
Ce 1.805 1.040 5.079
Ce 3.002 7.261 1.693
Nd 3.002 3.111 1.693
Nd 1.805 5.190 5.079
Pt 0.541 3.080 3.388
Pt 1.738 5.222 0.002
Pt -0.605 1.000 6.743
Pt 0.592 7.301 3.357
Pt 4.215 1.000 3.415
Pt 5.412 7.301 0.029
Pt 3.068 3.080 6.770
Pt 4.265 5.222 3.384
```

The distance to the lowest polymorph of the same formula is 0.0 meV per atom. The density is 11.0 g/cm³. As for the density of states at the Fermi level: 13.89 states/eV/f.u. The value obtained for the raw total energy is -6.896 eV per atom. For the formation energy, the calculation gives -1055 meV/atom. The total magnetization is 0.18 μB per atom. Its volume is 404.8 Å³/cell.



Record 2
DFT (PBE) results for an optimized crystal structure of Th2GaFe.

Geometry as extended XYZ:
```
4
Lattice="1.943 1.122 9.328 -1.943 1.122 9.328 0.000 -2.244 9.328" Properties=species:S:1:pos:R:3 pbc="T T T"
Th 0.000 0.000 3.198
Th 0.000 0.000 24.785
Ga 0.000 0.000 0.000
Fe 0.000 0.000 13.991
```

The distance to the lowest polymorph of the same formula is 433.0 meV per atom. The density is 8.0 g/cm³. As for the density of states at the Fermi level: 4.73 states/eV/f.u. The value obtained for the raw total energy is -6.377 eV per atom. For the formation energy, the calculation gives 206 meV/atom. The total magnetization is 0.00 μB per atom. Its volume is 122.0 Å³/cell.



Record 3
DFT (PBE) results for an optimized crystal structure of Li2Ac2Se3Br2.

Geometry as extended XYZ:
```
9
Lattice="-2.553 2.553 9.781 2.553 -2.553 9.781 2.553 2.553 -9.781" Properties=species:S:1:pos:R:3 pbc="T T T"
Li 2.553 0.000 0.000
Li 0.000 2.553 0.000
Ac 0.000 0.000 3.261
Ac 0.000 0.000 16.301
Se 0.000 0.000 0.000
Se 2.553 0.000 4.891
Se 0.000 2.553 4.891
Br 0.000 0.000 7.921
Br 0.000 0.000 11.641
```

The density is 5.6 g/cm³. As for the density of states at the Fermi level: 0.00 states/eV/f.u. The value obtained for the raw total energy is -4.545 eV per atom. The total magnetization is 0.00 μB per atom. Its volume is 255.1 Å³/cell.



Record 4
DFT (PBE) results for an optimized crystal structure of TbDy6Y3Th2.

Geometry as extended XYZ:
```
12
Lattice="3.086 -5.340 0.000 3.086 5.340 0.000 -2.056 0.000 11.609" Properties=species:S:1:pos:R:3 pbc="T T T"
Tb 0.000 0.000 0.000
Dy 1.040 1.799 2.870
Dy 0.026 0.000 8.736
Dy 1.040 -1.799 2.870
Dy 3.075 1.799 8.739
Dy 4.090 0.000 2.872
Dy 3.075 -1.799 8.739
Y 2.058 3.563 5.804
Y 2.058 0.000 5.804
Y 2.058 -3.563 5.804
Th 3.086 1.780 0.000
Th 3.086 -1.780 0.000
```

The density is 8.1 g/cm³. As for the density of states at the Fermi level: 17.18 states/eV/f.u. The value obtained for the raw total energy is -5.513 eV per atom. For the formation energy, the calculation gives 26 meV/atom. The total magnetization is 0.00 μB per atom. Its volume is 382.6 Å³/cell.